1.
Entry from Alexandria via LeMat-Bulk: a geometry-optimized B2C structure (PBE).

CIF file:
```
data_B2C
_chemical_formula_sum 'B8 C4'
_space_group_name_H-M_alt 'P 1'
_space_group_IT_number 1
_cell_length_a 4.6384
_cell_length_b 4.6384
_cell_length_c 4.4826
_cell_angle_alpha 81.51
_cell_angle_beta 81.51
_cell_angle_gamma 117.90
loop_
_space_group_symop_operation_xyz
'x,y,z'
loop_
_atom_site_label
_atom_site_fract_x
_atom_site_fract_y
_atom_site_fract_z
B1 0.6314 0.2685 0.0498
B2 0.8636 0.2197 0.4978
C1 0.2695 0.9444 0.1294
B3 0.7591 0.5297 0.6562
C2 0.9444 0.2695 0.1294
B4 0.2197 0.8636 0.4978
C3 0.0106 0.0106 0.0002
B5 0.2685 0.6314 0.0498
C4 0.1276 0.1276 0.6463
B6 0.6627 0.6627 0.0136
B7 0.4632 0.4632 0.4235
B8 0.5297 0.7591 0.6562
```

offset from the most stable computed form: 0.2020 eV/atom
magnetization: 0.0 Bohr magnetons per cell
calculated formation energy: 0.387 eV per atom
uncorrected energy: -7.14 eV per atom
DOS(E_F): 1.503 states/eV per cell

=====

2.
Entry from Alexandria via LeMat-Bulk: a geometry-optimized NaAl2CdRu structure (PBE).

CIF file:
```
data_NaAl2CdRu
_chemical_formula_sum 'Na1 Al2 Cd1 Ru1'
_space_group_name_H-M_alt 'P 1'
_space_group_IT_number 1
_cell_length_a 4.8919
_cell_length_b 4.8775
_cell_length_c 4.8919
_cell_angle_alpha 90.00
_cell_angle_beta 90.00
_cell_angle_gamma 90.00
loop_
_space_group_symop_operation_xyz
'x,y,z'
loop_
_atom_site_label
_atom_site_fract_x
_atom_site_fract_y
_atom_site_fract_z
Na1 0.0000 0.0000 0.0000
Cd1 0.0000 0.5000 0.0000
Ru1 0.5000 0.5000 0.5000
Al1 0.5000 0.0000 0.0000
Al2 0.0000 0.0000 0.5000
```

magnetization: 1.9 Bohr magnetons per cell
calculated formation energy: 1.564 eV per atom
uncorrected energy: -2.23 eV per atom
DOS(E_F): 5.601 states/eV per cell

=====

3.
Entry from Alexandria via LeMat-Bulk: a geometry-optimized DyEr2UO8 structure (PBE).

CIF file:
```
data_DyEr2UO8
_chemical_formula_sum 'Dy1 Er2 U1 O8'
_space_group_name_H-M_alt 'P 1'
_space_group_IT_number 1
_cell_length_a 3.8461
_cell_length_b 5.2839
_cell_length_c 7.5061
_cell_angle_alpha 90.00
_cell_angle_beta 90.00
_cell_angle_gamma 90.02
loop_
_space_group_symop_operation_xyz
'x,y,z'
loop_
_atom_site_label
_atom_site_fract_x
_atom_site_fract_y
_atom_site_fract_z
U1 0.0000 0.0000 0.0000
O1 0.5003 0.7656 0.0000
Dy1 0.0000 0.0000 0.5000
O2 0.5000 0.7468 0.5000
O3 0.0002 0.7567 0.2293
O4 0.4997 0.2344 0.0000
Er1 0.5000 0.5000 0.2506
O5 0.9998 0.2433 0.2293
O6 0.0002 0.7567 0.7707
Er2 0.5000 0.5000 0.7494
O7 0.9998 0.2433 0.7707
O8 0.5000 0.2532 0.5000
```

magnetization: 0.0 Bohr magnetons per cell
raw formation energy: -3.299 eV/atom
uncorrected energy: -8.69 eV per atom
DOS(E_F): 7.763 states/eV per cell

=====

4.
Entry from Alexandria via LeMat-Bulk: a geometry-optimized HfVIr structure (PBE).

CIF file:
```
data_HfVIr
_chemical_formula_sum 'Hf2 V2 Ir2'
_space_group_name_H-M_alt 'P 1'
_space_group_IT_number 1
_cell_length_a 5.4577
_cell_length_b 2.9569
_cell_length_c 7.4610
_cell_angle_alpha 101.43
_cell_angle_beta 111.45
_cell_angle_gamma 90.00
loop_
_space_group_symop_operation_xyz
'x,y,z'
loop_
_atom_site_label
_atom_site_fract_x
_atom_site_fract_y
_atom_site_fract_z
Hf1 0.3676 0.8676 0.7352
Ir1 0.7618 0.5000 0.0000
Ir2 0.2382 0.5000 0.0000
V1 0.1657 0.6657 0.3315
Hf2 0.6324 0.1324 0.2648
V2 0.8343 0.3343 0.6685
```

offset from the most stable computed form: 0.7898 eV/atom
magnetization: 2.5 Bohr magnetons per cell
calculated formation energy: 0.082 eV per atom
uncorrected energy: -9.23 eV per atom
DOS(E_F): 7.319 states/eV per cell

=====

5.
Entry from Alexandria via LeMat-Bulk: a geometry-optimized Ac3TlIr2 structure (PBE).

CIF file:
```
data_Ac3TlIr2
_chemical_formula_sum 'Ac6 Tl2 Ir4'
_space_group_name_H-M_alt 'P 1'
_space_group_IT_number 1
_cell_length_a 7.1711
_cell_length_b 7.6421
_cell_length_c 8.7355
_cell_angle_alpha 115.94
_cell_angle_beta 114.23
_cell_angle_gamma 90.00
loop_
_space_group_symop_operation_xyz
'x,y,z'
loop_
_atom_site_label
_atom_site_fract_x
_atom_site_fract_y
_atom_site_fract_z
Ac1 0.2186 0.9686 0.4373
Ac2 0.7814 0.0314 0.5627
Ac3 0.2186 0.4686 0.4373
Ir1 0.8454 0.1370 0.2740
Ac4 0.7814 0.5314 0.5627
Ir2 0.1546 0.8630 0.7260
Tl1 0.0000 0.5000 0.0000
Ac5 0.5000 0.2500 0.0000
Tl2 0.0000 0.0000 0.0000
Ir3 0.5714 0.3630 0.7260
Ac6 0.5000 0.7500 0.0000
Ir4 0.4286 0.6370 0.2740
```

magnetization: 0.0 Bohr magnetons per cell
calculated formation energy: -0.501 eV per atom
uncorrected energy: -5.90 eV per atom
DOS(E_F): 8.395 states/eV per cell

=====

6.
Entry from Alexandria via LeMat-Bulk: a geometry-optimized Dy2ErSc3S6 structure (PBE).

CIF file:
```
data_Dy2ErSc3S6
_chemical_formula_sum 'Dy2 Er1 Sc3 S6'
_space_group_name_H-M_alt 'P 1'
_space_group_IT_number 1
_cell_length_a 3.7871
_cell_length_b 7.6093
_cell_length_c 8.4713
_cell_angle_alpha 102.96
_cell_angle_beta 102.92
_cell_angle_gamma 90.00
loop_
_space_group_symop_operation_xyz
'x,y,z'
loop_
_atom_site_label
_atom_site_fract_x
_atom_site_fract_y
_atom_site_fract_z
S1 0.9963 0.2559 0.9927
Sc1 0.8327 0.1675 0.6653
S2 0.0037 0.7441 0.0073
Er1 0.5000 0.0000 0.0000
Sc2 0.1673 0.8325 0.3347
S3 0.6628 0.5921 0.3256
S4 0.6691 0.0735 0.3382
S5 0.3372 0.4079 0.6744
Dy1 0.8329 0.6659 0.6658
Sc3 0.5000 0.5000 0.0000
Dy2 0.1671 0.3341 0.3342
S6 0.3309 0.9265 0.6618
```

magnetization: 0.0 Bohr magnetons per cell
raw formation energy: -1.918 eV/atom
uncorrected energy: -6.71 eV per atom
DOS(E_F): 5.705 states/eV per cell

=====

7.
Entry from Alexandria via LeMat-Bulk: a geometry-optimized MgScAl2 structure (PBE).

CIF file:
```
data_MgScAl2
_chemical_formula_sum 'Mg1 Sc1 Al2'
_space_group_name_H-M_alt 'P 1'
_space_group_IT_number 1
_cell_length_a 9.7945
_cell_length_b 9.7945
_cell_length_c 9.7945
_cell_angle_alpha 18.26
_cell_angle_beta 18.26
_cell_angle_gamma 18.26
loop_
_space_group_symop_operation_xyz
'x,y,z'
loop_
_atom_site_label
_atom_site_fract_x
_atom_site_fract_y
_atom_site_fract_z
Al1 0.9999 0.9999 0.9999
Sc1 0.7500 0.7500 0.7500
Mg1 0.2500 0.2500 0.2500
Al2 0.5001 0.5001 0.5001
```

magnetization: 0.0 Bohr magnetons per cell
calculated formation energy: -0.084 eV per atom
uncorrected energy: -3.94 eV per atom
DOS(E_F): 3.636 states/eV per cell

=====

8.
Entry from Alexandria via LeMat-Bulk: a geometry-optimized Zn2MoBr structure (PBE).

CIF file:
```
data_Zn2MoBr
_chemical_formula_sum 'Zn2 Mo1 Br1'
_space_group_name_H-M_alt 'P 1'
_space_group_IT_number 1
_cell_length_a 5.1797
_cell_length_b 5.1797
_cell_length_c 5.1797
_cell_angle_alpha 133.79
_cell_angle_beta 133.79
_cell_angle_gamma 67.42
loop_
_space_group_symop_operation_xyz
'x,y,z'
loop_
_atom_site_label
_atom_site_fract_x
_atom_site_fract_y
_atom_site_fract_z
Zn1 0.0000 0.0000 0.0000
Br1 0.5000 0.5000 0.0000
Zn2 0.2500 0.7500 0.5000
Mo1 0.7500 0.2500 0.5000
```

offset from the most stable computed form: 0.4179 eV/atom
magnetization: 2.4 Bohr magnetons per cell
raw formation energy: 0.647 eV/atom
uncorrected energy: -3.12 eV per atom
DOS(E_F): 2.567 states/eV per cell

=====

9.
Entry from Alexandria via LeMat-Bulk: a geometry-optimized NaLaMn structure (PBE).

CIF file:
```
data_NaLaMn
_chemical_formula_sum 'Na4 La4 Mn4'
_space_group_name_H-M_alt 'P 1'
_space_group_IT_number 1
_cell_length_a 14.1324
_cell_length_b 3.8409
_cell_length_c 6.6310
_cell_angle_alpha 90.00
_cell_angle_beta 99.15
_cell_angle_gamma 90.00
loop_
_space_group_symop_operation_xyz
'x,y,z'
loop_
_atom_site_label
_atom_site_fract_x
_atom_site_fract_y
_atom_site_fract_z
La1 0.7989 0.5000 0.6556
Na1 0.0380 0.5000 0.3977
Mn1 0.6625 0.5000 0.9437
La2 0.4955 0.0000 0.0548
La3 0.7989 0.0000 0.1556
Na2 0.2557 0.0000 0.6364
Mn2 0.6317 0.5000 0.2674
Na3 0.0380 0.0000 0.8977
Na4 0.2557 0.5000 0.1364
Mn3 0.6625 0.0000 0.4437
La4 0.4955 0.5000 0.5548
Mn4 0.6317 0.0000 0.7674
```

offset from the most stable computed form: 0.0009 eV/atom
magnetization: 0.0 Bohr magnetons per cell
calculated formation energy: 0.095 eV per atom
uncorrected energy: -5.04 eV per atom
DOS(E_F): 8.737 states/eV per cell

=====

10.
Entry from Alexandria via LeMat-Bulk: a geometry-optimized P3CF structure (PBE).

CIF file:
```
data_P3CF
_chemical_formula_sum 'P3 C1 F1'
_space_group_name_H-M_alt 'P 1'
_space_group_IT_number 1
_cell_length_a 4.0744
_cell_length_b 4.0744
_cell_length_c 4.0744
_cell_angle_alpha 90.00
_cell_angle_beta 90.00
_cell_angle_gamma 90.00
loop_
_space_group_symop_operation_xyz
'x,y,z'
loop_
_atom_site_label
_atom_site_fract_x
_atom_site_fract_y
_atom_site_fract_z
P1 0.0000 0.5000 0.0000
C1 0.0000 0.0000 0.0000
P2 0.0000 0.0000 0.5000
F1 0.5000 0.5000 0.5000
P3 0.5000 0.0000 0.0000
```

offset from the most stable computed form: 0.0000 eV/atom
magnetization: 0.0 Bohr magnetons per cell
raw formation energy: 1.042 eV/atom
uncorrected energy: -4.42 eV per atom
DOS(E_F): 2.418 states/eV per cell

=====

11.
Entry from Alexandria via LeMat-Bulk: a geometry-optimized Li3TaO4 structure (PBE).

CIF file:
```
data_Li3TaO4
_chemical_formula_sum 'Li18 Ta6 O24'
_space_group_name_H-M_alt 'P 1'
_space_group_IT_number 1
_cell_length_a 6.0572
_cell_length_b 6.0820
_cell_length_c 12.9493
_cell_angle_alpha 76.55
_cell_angle_beta 90.00
_cell_angle_gamma 90.00
loop_
_space_group_symop_operation_xyz
'x,y,z'
loop_
_atom_site_label
_atom_site_fract_x
_atom_site_fract_y
_atom_site_fract_z
O1 0.3882 0.2605 0.7550
Li1 0.8776 0.5000 0.2500
Li2 0.6247 0.6735 0.4237
O2 0.6402 0.0979 0.5791
Li3 0.3880 0.0000 0.2500
Li4 0.6250 0.8736 0.0830
O3 0.6424 0.4351 0.9075
O4 0.6402 0.9021 0.9209
O5 0.1125 0.4289 0.9260
O6 0.8623 0.2719 0.7409
Li5 0.6120 0.0000 0.7500
O7 0.3576 0.4351 0.4075
Li6 0.1229 0.1730 0.4087
O8 0.3598 0.9021 0.4209
Li7 0.8344 0.0000 0.2500
Li8 0.6247 0.3265 0.0763
Ta1 0.5925 0.5000 0.7500
O9 0.8866 0.9062 0.4116
Li9 0.3753 0.3265 0.5763
O10 0.1134 0.9062 0.9116
Ta2 0.1225 0.6980 0.4165
O11 0.8875 0.5711 0.0740
O12 0.8875 0.4289 0.4260
Ta3 0.8775 0.3020 0.5835
Li10 0.1224 0.5000 0.7500
O13 0.6424 0.5649 0.5925
Ta4 0.4075 0.5000 0.2500
Li11 0.8771 0.8270 0.5913
O14 0.3598 0.0979 0.0791
Ta5 0.8775 0.6980 0.9165
Li12 0.1656 0.0000 0.7500
Li13 0.1229 0.8270 0.0913
Li14 0.8771 0.1730 0.9087
Li15 0.3750 0.8736 0.5830
Li16 0.6250 0.1264 0.4170
O15 0.8623 0.7281 0.7591
O16 0.8866 0.0938 0.0884
O17 0.3576 0.5649 0.0925
O18 0.1134 0.0938 0.5884
O19 0.1377 0.7281 0.2591
Li17 0.3750 0.1264 0.9170
Li18 0.3753 0.6735 0.9237
O20 0.1377 0.2719 0.2409
Ta6 0.1225 0.3020 0.0835
O21 0.6118 0.7395 0.2450
O22 0.3882 0.7395 0.7450
O23 0.6118 0.2605 0.2550
O24 0.1125 0.5711 0.5740
```

offset from the most stable computed form: 0.0005 eV/atom
magnetization: 0.0 Bohr magnetons per cell
raw formation energy: -2.500 eV/atom
uncorrected energy: -7.18 eV per atom
DOS(E_F): 0.000 states/eV per cell